ZnGeN3 | PBE-GGA | optimized geometry

Calculated values
E ... -4.6622 eV/atom
Crystal system ... cubic
Magnetic moment ... 2.514 μB per formula unit

Cell lengths 3.810, 3.810, 3.810 Å; angles 90.00, 90.00, 90.00 degrees
Space group Pm-3m (No. 221)
One atom of each set of equivalent atoms:
1 Zn 0.000 0.000 0.000 (multiplicity 1)
2 Ge 0.500 0.500 0.500 (multiplicity 1)
3 N 0.000 0.500 0.500 (multiplicity 3)